[1]
Crystalline Be7Nb3Co2 at its relaxed geometry, computed with PBE-GGA.

It has space group R-3m (No. 166, hexagonal axes), with a = 4.6113 Å, b = 4.6113 Å, c = 21.4182 Å, α = 90.00°, β = 90.00° and γ = 120.00°. Symmetry generates all atoms from Be at (0.0000, 0.0000, 0.0000), Be at (0.0028, 0.5014, 0.4169), Nb at (0.0000, 0.0000, 0.3574), Nb at (0.0000, 0.0000, 0.5000) and Co at (0.0000, 0.0000, 0.1662).

The calculation puts the total DFT energy (no corrections) at -219.465 eV per cell. The calculation puts the formation energy at -0.221 eV/atom. The total magnetic moment is 0.75 μB/f.u.

=====

[2]
Crystalline Be3NbCo4 at its relaxed geometry, computed with PBE-GGA.

It has space group P4/mmm (No. 123), with a = 3.833 Å, b = 3.833 Å, c = 5.597 Å, α = 90.00°, β = 90.00° and γ = 90.00°. Symmetry generates all atoms from Be at (0.000, 0.000, 0.000), Be at (0.000, 0.000, 0.500), Be at (0.500, 0.500, 0.000), Nb at (0.500, 0.500, 0.500) and Co at (0.000, 0.500, 0.225).

The calculation puts the total DFT energy (no corrections) at -51.885 eV per cell. The calculation puts the formation energy at -0.277 eV/atom. The total magnetic moment is 0.00 μB/f.u.

=====

[3]
Crystalline Be4Nb3Co2 at its relaxed geometry, computed with PBE-GGA.

It has space group C2/m (No. 12), with a = 9.031 Å, b = 3.640 Å, c = 7.071 Å, α = 90.00°, β = 110.60° and γ = 90.00°. Symmetry generates all atoms from Be at (0.079, 0.000, 0.405), Be at (0.220, 0.500, 0.065), Nb at (0.000, 0.000, 0.000), Nb at (0.134, 0.500, 0.697) and Co at (0.182, 0.500, 0.354).

The calculation puts the total DFT energy (no corrections) at -121.798 eV per cell. The calculation puts the formation energy at -0.175 eV/atom. The total magnetic moment is 0.00 μB/f.u.

=====

[4]
Crystalline Be9Nb2Co at its relaxed geometry, computed with PBE-GGA.

It has space group R-3m (No. 166, hexagonal axes), with a = 4.4747 Å, b = 4.4747 Å, c = 20.9601 Å, α = 90.00°, β = 90.00° and γ = 120.00°. Symmetry generates all atoms from Be at (0.0000, 0.0000, 0.0000), Be at (0.0000, 0.0000, 0.1653), Be at (0.0000, 0.5000, 0.4189), Nb at (0.0000, 0.0000, 0.3569) and Co at (0.0000, 0.0000, 0.5000).

The calculation puts the total DFT energy (no corrections) at -185.478 eV per cell. The calculation puts the formation energy at -0.087 eV/atom. The total magnetic moment is 0.39 μB/f.u.